Pd2Br3Cl4: relaxed, GGA-PBE.

Summary:
- Final energy: -2.677 eV/atom
- Density of states at the Fermi level: 6.78 states/eV/f.u.
- Space group: No. 15

```
Pd2Br3Cl4
1.0
5.405 -9.057 -0.405
9.518 4.323 1.458
3.342 -1.784 5.431
Pd Cl Br
4 8 6
Cartesian
12.718 -3.579 5.084 Pd
7.791 -1.966 4.375 Pd
5.547 -2.938 1.400 Pd
10.474 -4.551 2.109 Pd
12.419 -5.317 3.516 Cl
5.847 -1.200 2.968 Cl
5.418 -4.961 0.213 Cl
11.305 -2.612 1.053 Cl
9.374 -6.529 2.739 Cl
8.892 0.011 3.745 Cl
12.847 -1.556 6.272 Cl
6.960 -3.906 5.431 Cl
8.107 -3.431 1.798 Br
3.845 0.900 1.121 Br
13.985 -2.508 3.208 Br
4.281 -4.010 3.276 Br
10.158 -3.086 4.686 Br
14.421 -7.418 5.364 Br
```

---

LiSm2Ga12: relaxed, GGA-PBE.

Summary:
- Final energy: -3.516 eV/atom
- Density of states at the Fermi level: 3.52 states/eV/f.u.
- Space group: No. 125
- Formation energy from the elements: -0.34 eV per atom

```
LiSm2Ga12
1.0
-6.087 1.047 -0.319
0.225 -0.566 -6.154
-2.622 -14.857 1.271
Ga Sm Li
24 4 2
Cartesian
-6.796 -13.211 -3.690 Ga
-4.652 -9.512 -2.403 Ga
-1.696 -1.163 -1.504 Ga
-6.037 -5.887 -3.833 Ga
-0.901 -5.105 0.437 Ga
-6.484 -7.795 -1.582 Ga
-6.900 -12.929 -0.613 Ga
-3.752 -13.735 -3.539 Ga
-2.957 -6.503 -4.679 Ga
-5.078 -11.927 -2.196 Ga
-4.740 -0.641 -1.673 Ga
-2.370 -8.680 -3.442 Ga
-3.832 -4.864 -2.800 Ga
-2.076 -6.391 -1.549 Ga
-5.156 -5.775 -0.704 Ga
-0.475 -2.689 0.230 Ga
-1.721 -9.752 0.834 Ga
-4.619 -0.925 -4.749 Ga
-3.856 -13.454 -0.462 Ga
-3.477 -8.226 -0.417 Ga
-3.405 -2.449 -3.007 Ga
-2.147 -12.168 1.041 Ga
-5.377 -8.249 -4.607 Ga
-1.575 -1.448 -4.581 Ga
-0.528 -3.916 -2.767 Sm
-1.868 -11.508 -2.117 Sm
-3.684 -3.109 0.151 Sm
-5.024 -10.701 0.800 Sm
0.113 -0.283 -3.077 Li
-3.043 0.523 -0.160 Li
```

---

BaMgTlBi: relaxed, GGA-PBE.

Summary:
- Final energy: -2.766 eV/atom
- Density of states at the Fermi level: 1.85 states/eV/f.u.
- Space group: No. 216
- Formation energy from the elements: -0.32 eV per atom

```
BaMgTlBi
1.0
-1.866 -5.354 -0.770
0.024 -3.694 4.370
-4.937 -1.676 2.357
Ba Mg Tl Bi
1 1 1 1
Cartesian
-1.695 -2.681 1.489 Ba
-5.084 -8.043 4.468 Mg
0.000 0.000 0.000 Tl
-3.389 -5.362 2.979 Bi
```

---

Tl4In2Hg9: relaxed, GGA-PBE.

Summary:
- Final energy: -1.183 eV/atom
- Density of states at the Fermi level: 4.06 states/eV/f.u.
- Space group: No. 2
- Formation energy from the elements: -0.01 eV per atom

```
Tl4In2Hg9
1.0
5.839 -0.422 -0.405
-3.407 4.765 0.343
-2.418 1.580 16.081
Tl Hg In
4 9 2
Cartesian
0.747 2.647 13.369 Tl
1.137 2.370 9.998 Tl
-1.123 3.553 6.021 Tl
-0.732 3.276 2.649 Tl
-2.617 4.553 15.544 Hg
-1.726 1.146 11.341 Hg
-2.170 1.439 14.527 Hg
-1.209 0.790 8.040 Hg
-1.758 3.975 9.207 Hg
2.631 1.370 0.475 Hg
1.741 4.778 4.678 Hg
2.185 4.484 1.491 Hg
1.772 1.949 6.812 Hg
-2.131 4.244 12.349 In
2.146 1.680 3.670 In
```

---

CdHgBr2: relaxed, GGA-PBE.

Summary:
- Final energy: -1.653 eV/atom
- E above lowest polymorph: 107 meV per atom
- Space group: No. 10

```
CdHgBr2
1.0
-2.591 -2.028 -1.969
0.097 -3.164 3.132
-6.655 3.023 5.645
Br Hg Cd
2 1 1
Cartesian
-2.806 0.008 3.684 Br
-0.473 -0.079 0.704 Br
-6.214 -1.120 5.598 Hg
-2.935 -1.049 1.210 Cd
```

---

Ho2ThAu4: relaxed, GGA-PBE.

Summary:
- Final energy: -4.886 eV/atom
- Density of states at the Fermi level: 5.21 states/eV/f.u.
- Space group: No. 65
- Formation energy from the elements: -0.64 eV per atom

```
Ho2ThAu4
1.0
5.096 0.000 0.000
0.000 5.670 -2.291
0.000 0.470 6.097
Au Ho Th
4 2 1
Cartesian
0.000 4.379 2.714 Au
2.548 0.235 3.049 Au
2.548 2.835 -1.146 Au
0.000 1.761 1.092 Au
0.000 1.585 4.298 Ho
0.000 4.555 -0.492 Ho
2.548 3.070 1.903 Th
```

---

Ho8Tl3Te4: relaxed, GGA-PBE.

Summary:
- Final energy: -4.477 eV/atom
- Density of states at the Fermi level: 11.19 states/eV/f.u.
- Space group: No. 12

```
Ho8Tl3Te4
1.0
-6.920 -5.008 0.315
7.792 -3.402 1.503
1.332 5.823 6.235
Ho Te Tl
8 4 3
Cartesian
-0.104 -3.168 6.033 Ho
2.719 -3.602 2.842 Ho
3.421 -0.624 5.888 Ho
2.309 0.581 2.019 Ho
-0.515 1.015 5.210 Ho
6.136 -1.037 2.716 Ho
-1.217 -1.963 2.164 Ho
2.988 3.458 5.022 Ho
3.896 -1.701 0.751 Te
0.666 2.911 3.117 Te
0.000 0.000 0.000 Te
-3.460 -2.504 0.158 Te
1.102 -1.293 4.026 Tl
0.436 -4.205 0.909 Tl
-2.794 0.407 3.275 Tl
```

---

Ba4AlGa4: relaxed, GGA-PBE.

Summary:
- Final energy: -2.909 eV/atom
- Density of states at the Fermi level: 5.79 states/eV/f.u.
- Space group: No. 86
- Formation energy from the elements: -0.29 eV per atom

```
Ba4AlGa4
1.0
-4.875 2.902 1.859
-5.777 -5.913 -5.920
-1.036 -6.633 7.636
Ga Ba Al
8 8 2
Cartesian
-4.207 -4.059 7.464 Ga
-8.791 -4.806 -3.390 Ga
-2.668 -0.067 0.119 Ga
-7.706 -3.027 1.116 Ga
-7.549 -4.495 3.819 Ga
-4.946 -7.011 0.546 Ga
-7.711 -10.357 2.957 Ga
-3.176 -4.756 1.669 Ga
-8.279 -6.858 0.889 Ba
-9.253 -7.609 4.474 Ba
-6.168 -7.055 -2.851 Ba
-5.454 -3.679 -1.282 Ba
-6.136 0.167 0.513 Ba
-5.060 -6.664 4.409 Ba
-1.820 -4.792 5.015 Ba
-4.584 -2.088 3.134 Ba
-5.844 -4.822 1.788 Al
0.000 0.000 0.000 Al
```